VASP calculation (PBE-GGA) on crystalline BiSbI6 at its relaxed geometry.

The calculation puts the raw formation energy at -2.6 eV/f.u. The magnetization is 0.00 μB/atom. As for the symmetry: R-3.

extended XYZ file:
```
8
Lattice="3.808 2.199 6.933 -3.808 2.199 6.933 0.000 -4.397 6.933" Properties=species:S:1:pos:R:3 pbc="T T T"
Bi 0.000 0.000 0.000
Sb 0.000 0.000 10.399
I -2.530 -0.050 8.683
I -1.221 -2.216 12.115
I 1.308 -2.166 8.683
I -1.308 2.166 12.115
I 1.222 2.216 8.683
I 2.530 0.050 12.115
```